## TmGeOs (PBE)

Data for a geometry-optimized TmGeOs structure.

Results
Formation energy: -0.2087 eV/atom
V: 20.1 Å³ per atom
Calculated total energy: -6.982 eV per atom
Spin magnetization: 0.000 μB/atom

Cell lengths 5.0964, 3.2598, 7.4291 Å; angles 102.67, 90.00, 90.00 degrees
Last column: nearest neighbours and their distance in Å.
Sites, in units of the cell vectors:
Os 0.9987 0.0000 0.0000  2 Os 2.55, 2 Ge 2.55
Os 0.4987 0.0000 0.0000  2 Os 2.55, 2 Ge 2.55
Ge 0.2487 0.1523 0.3047  2 Os 2.55
Ge 0.7487 0.8477 0.6953  2 Os 2.55
Tm 0.7487 0.6471 0.2943  5 Ge 2.91-3.03, 4 Os 2.97
Tm 0.2487 0.3529 0.7057  5 Ge 2.91-3.03, 4 Os 2.97

---

## TmGeOs (PBE)

Data for a geometry-optimized TmGeOs structure.

Results
Formation energy: -0.4121 eV/atom
V: 18.8 Å³ per atom
Calculated total energy: -7.185 eV per atom
Spin magnetization: 0.000 μB/atom

Cell lengths 3.4301, 4.3604, 4.3604 Å; angles 120.00, 90.00, 90.00 degrees
Last column: nearest neighbours and their distance in Å.
Sites, in units of the cell vectors:
Ge 0.1667 0.0000 0.0000  3 Os 2.52
Os 0.1667 0.3333 0.6667  3 Ge 2.52
Tm 0.6666 0.6667 0.3333  6 Os 3.05, 6 Ge 3.05

---

## Tm2GeOs (PBE)

Data for a geometry-optimized Tm2GeOs structure.

Results
Formation energy: -0.4879 eV/atom
V: 20.5 Å³ per atom
Calculated total energy: -6.685 eV per atom
Spin magnetization: 0.000 μB/atom
E above lowest polymorph: 0 meV per atom

Cell lengths 3.4401, 3.4401, 6.9240 Å; angles 90.00, 90.00, 90.00 degrees
Last column: nearest neighbours and their distance in Å.
Sites, in units of the cell vectors:
Ge 0.5000 0.5000 0.5000  8 Tm 3.05
Tm 0.0000 0.0000 0.2345  4 Os 2.92, 4 Ge 3.05, 1 Tm 3.25
Tm 0.0000 0.0000 0.7655  4 Os 2.92, 4 Ge 3.05, 1 Tm 3.25
Os 0.5000 0.5000 0.0000  8 Tm 2.92